Record 1
Computed, not measured: LiAcSmZn after structural relaxation at the PBE level of DFT.

Cell lengths 3.8543, 3.8543, 7.6298 Å; angles 90.00, 90.00, 90.00 degrees
With the nearest neighbours (Å) after each atom.
Fractional positions:
Li: 0.0000 0.0000 0.8823  4 Sm 3.30, 1 Zn 3.40, 4 Ac 3.51
Ac: 0.5000 0.5000 0.5926  4 Zn 3.39, 4 Li 3.51, 1 Sm 3.57
Sm: 0.5000 0.5000 0.1251  4 Zn 3.13, 4 Li 3.30
Zn: 0.0000 0.0000 0.3280  4 Sm 3.13, 4 Ac 3.39, 1 Li 3.40

**Magnetization**: 0.00 Bohr magnetons per cell
**Fermi-level density of states**: 1.144 states/eV per atom
**E_form**: -0.101 eV/atom

Record 2
Computed, not measured: LiAcSn after structural relaxation at the PBE level of DFT.

Cell lengths 3.7605, 3.7605, 6.6733 Å; angles 106.37, 106.37, 90.00 degrees
With the nearest neighbours (Å) after each atom.
Fractional positions:
Ac: 0.0037 0.0037 0.0073  5 Sn 3.57-3.74, 5 Li 3.61-3.66, 4 Ac 3.76
Sn: 0.6978 0.6978 0.3957  4 Li 2.93
Li: 0.2985 0.2985 0.5970  4 Sn 2.93

**Magnetization**: 0.00 Bohr magnetons per cell
**Fermi-level density of states**: 1.030 states/eV per atom
**E_form**: -0.307 eV/atom

Record 3
Computed, not measured: LiAcSn after structural relaxation at the PBE level of DFT.

Cell lengths 8.2419, 9.8679, 4.9615 Å; angles 120.23, 90.00, 90.00 degrees
With the nearest neighbours (Å) after each atom.
Fractional positions:
Li: 0.1811 0.4201 0.1701  3 Sn 2.89-2.93
Li: 0.6811 0.0799 0.8299  3 Sn 2.89-2.93
Li: 0.8189 0.5799 0.8299  3 Sn 2.89-2.93
Li: 0.3189 0.9201 0.1701  3 Sn 2.89-2.93
Sn: 0.2790 0.0893 0.8393  3 Li 2.89-2.93
Sn: 0.7790 0.4107 0.1607  3 Li 2.89-2.93
Sn: 0.7210 0.9107 0.1607  3 Li 2.89-2.93
Sn: 0.2210 0.5893 0.8393  3 Li 2.89-2.93
Ac: 0.0011 0.7820 0.5321  4 Li 3.37-3.66, 6 Sn 3.48-3.66
Ac: 0.5011 0.7180 0.4679  4 Li 3.37-3.66, 6 Sn 3.48-3.66
Ac: 0.9989 0.2180 0.4679  4 Li 3.37-3.66, 6 Sn 3.48-3.66
Ac: 0.4989 0.2820 0.5321  4 Li 3.37-3.66, 6 Sn 3.48-3.66

**Magnetization**: 0.00 Bohr magnetons per cell
**Fermi-level density of states**: 0.238 states/eV per atom
**E_form**: -0.638 eV/atom

For the records above, the corresponding E above lowest polymorph values read 0 332 0 meV/atom.